LaTmTlHg | GGA-PBE | relaxed Values from VASP.

The structure in Quantum ESPRESSO input format:
```
&SYSTEM
  ibrav = 0, nat = 4, ntyp = 4
/
ATOMIC_SPECIES
La 138.91 La.upf
Tm 168.93 Tm.upf
Tl 204.38 Tl.upf
Hg 200.59 Hg.upf
CELL_PARAMETERS angstrom
0.0000 3.8469 3.8469
3.8469 0.0000 3.8469
3.8469 3.8469 0.0000
ATOMIC_POSITIONS angstrom
La 0.0000 0.0000 0.0000
Tm 3.8469 3.8469 3.8469
Tl 1.9234 1.9234 1.9234
Hg 5.7703 5.7703 5.7703
```

- Energy of formation: -0.41 eV per atom
- Calculated total energy: -3.4310 eV per atom
- Symmetry: F-43m

LaYTl2Hg | GGA-PBE | relaxed Values from VASP.

The structure in Quantum ESPRESSO input format:
```
&SYSTEM
  ibrav = 0, nat = 5, ntyp = 4
/
ATOMIC_SPECIES
La 138.91 La.upf
Y 88.91 Y.upf
Tl 204.38 Tl.upf
Hg 200.59 Hg.upf
CELL_PARAMETERS angstrom
5.6930 0.0000 0.0000
0.0000 5.6930 0.0000
0.0000 0.0000 5.5819
ATOMIC_POSITIONS angstrom
La 0.0000 0.0000 0.0000
Y 2.8465 2.8465 2.7909
Tl 0.0000 2.8465 2.7909
Tl 2.8465 0.0000 2.7909
Hg 2.8465 2.8465 0.0000
```

- Energy of formation: 0.19 eV per atom
- Calculated total energy: -3.0998 eV per atom
- Symmetry: P4/mmm

LaY2Tl2Hg2 | GGA-PBE | relaxed Values from VASP.

The structure in Quantum ESPRESSO input format:
```
&SYSTEM
  ibrav = 0, nat = 7, ntyp = 4
/
ATOMIC_SPECIES
La 138.91 La.upf
Y 88.91 Y.upf
Tl 204.38 Tl.upf
Hg 200.59 Hg.upf
CELL_PARAMETERS angstrom
2.5191 1.4544 9.0678
-2.5191 1.4544 9.0678
0.0000 -2.9088 9.0678
ATOMIC_POSITIONS angstrom
La 0.0000 0.0000 0.0000
Y 0.0000 0.0000 3.6393
Y 0.0000 0.0000 23.5642
Tl 0.0000 0.0000 7.2991
Tl 0.0000 0.0000 19.9045
Hg 0.0000 0.0000 11.9040
Hg 0.0000 0.0000 15.2995
```

- Energy of formation: -0.27 eV per atom
- Calculated total energy: -3.5783 eV per atom
- Symmetry: R-3m

LaYTlHg | GGA-PBE | relaxed Values from VASP.

The structure in Quantum ESPRESSO input format:
```
&SYSTEM
  ibrav = 0, nat = 4, ntyp = 4
/
ATOMIC_SPECIES
La 138.91 La.upf
Y 88.91 Y.upf
Tl 204.38 Tl.upf
Hg 200.59 Hg.upf
CELL_PARAMETERS angstrom
0.0000 3.8674 3.8674
3.8674 0.0000 3.8674
3.8674 3.8674 0.0000
ATOMIC_POSITIONS angstrom
La 0.0000 0.0000 0.0000
Y 3.8674 3.8674 3.8674
Tl 5.8011 5.8011 5.8011
Hg 1.9337 1.9337 1.9337
```

- Energy of formation: -0.45 eV per atom
- Calculated total energy: -3.9612 eV per atom
- Symmetry: F-43m

LaTl2ZnHg | GGA-PBE | relaxed Values from VASP.

The structure in Quantum ESPRESSO input format:
```
&SYSTEM
  ibrav = 0, nat = 5, ntyp = 4
/
ATOMIC_SPECIES
La 138.91 La.upf
Tl 204.38 Tl.upf
Zn 65.41 Zn.upf
Hg 200.59 Hg.upf
CELL_PARAMETERS angstrom
5.3274 0.0000 0.0000
0.0000 5.3274 0.0000
0.0000 0.0000 5.0589
ATOMIC_POSITIONS angstrom
La 0.0000 0.0000 0.0000
Tl 0.0000 2.6637 2.5294
Tl 2.6637 0.0000 2.5294
Zn 2.6637 2.6637 2.5294
Hg 2.6637 2.6637 0.0000
```

- Energy of formation: 0.00 eV per atom
- Calculated total energy: -2.2465 eV per atom
- Symmetry: P4/mmm

LaTmHg | GGA-PBE | relaxed Values from VASP.

The structure in Quantum ESPRESSO input format:
```
&SYSTEM
  ibrav = 0, nat = 3, ntyp = 3
/
ATOMIC_SPECIES
La 138.91 La.upf
Tm 168.93 Tm.upf
Hg 200.59 Hg.upf
CELL_PARAMETERS angstrom
5.1544 0.0000 0.0000
-2.5772 4.4638 0.0000
0.0000 0.0000 3.9537
ATOMIC_POSITIONS angstrom
La 0.0000 0.0000 0.0000
Tm 0.0000 2.9759 1.9769
Hg 2.5772 1.4879 1.9769
```

- Energy of formation: -0.23 eV per atom
- Calculated total energy: -3.4613 eV per atom
- Energy relative to the lowest polymorph listed for this composition: 108.8 meV per atom
- Symmetry: P-6m2

LaTm2Hg | GGA-PBE | relaxed Values from VASP.

The structure in Quantum ESPRESSO input format:
```
&SYSTEM
  ibrav = 0, nat = 4, ntyp = 3
/
ATOMIC_SPECIES
La 138.91 La.upf
Tm 168.93 Tm.upf
Hg 200.59 Hg.upf
CELL_PARAMETERS angstrom
4.8611 0.0000 0.0000
0.0000 4.8611 0.0000
0.0000 0.0000 4.8389
ATOMIC_POSITIONS angstrom
La 0.0000 0.0000 0.0000
Tm 0.0000 2.4305 2.4194
Tm 2.4305 0.0000 2.4194
Hg 2.4305 2.4305 0.0000
```

- Energy of formation: -0.14 eV per atom
- Calculated total energy: -3.6855 eV per atom
- Energy relative to the lowest polymorph listed for this composition: 80.7 meV per atom
- Symmetry: P4/mmm

La2TmHg | GGA-PBE | relaxed Values from VASP.

The structure in Quantum ESPRESSO input format:
```
&SYSTEM
  ibrav = 0, nat = 8, ntyp = 3
/
ATOMIC_SPECIES
La 138.91 La.upf
Tm 168.93 Tm.upf
Hg 200.59 Hg.upf
CELL_PARAMETERS angstrom
0.0000 3.7432 8.9071
3.7418 0.0000 8.9071
3.7418 3.7432 0.0000
ATOMIC_POSITIONS angstrom
La 1.8709 1.8716 0.0000
La 3.7418 3.7432 2.4363
La 1.8709 1.8716 8.9071
La 3.7418 3.7432 15.3778
Tm 3.7418 3.7432 6.2816
Tm 3.7418 3.7432 11.5325
Hg 1.8709 1.8716 4.4535
Hg 5.6127 5.6147 13.3606
```

- Energy of formation: -0.24 eV per atom
- Calculated total energy: -3.8924 eV per atom
- Energy relative to the lowest polymorph listed for this composition: 0.0 meV per atom
- Symmetry: Fmmm

La4TmHg | GGA-PBE | relaxed Values from VASP.

The structure in Quantum ESPRESSO input format:
```
&SYSTEM
  ibrav = 0, nat = 6, ntyp = 3
/
ATOMIC_SPECIES
La 138.91 La.upf
Tm 168.93 Tm.upf
Hg 200.59 Hg.upf
CELL_PARAMETERS angstrom
5.4537 0.0000 0.0000
0.0000 5.4537 0.0000
0.0000 0.0000 7.6417
ATOMIC_POSITIONS angstrom
La 0.0000 2.7269 1.8642
La 0.0000 2.7269 5.7775
La 2.7269 0.0000 1.8642
La 2.7269 0.0000 5.7775
Tm 0.0000 0.0000 3.8208
Hg 2.7269 2.7269 0.0000
```

- Energy of formation: 0.21 eV per atom
- Calculated total energy: -3.8661 eV per atom
- Energy relative to the lowest polymorph listed for this composition: 365.2 meV per atom
- Symmetry: P4/mmm

LaTm5Hg3 | GGA-PBE | relaxed Values from VASP.

The structure in Quantum ESPRESSO input format:
```
&SYSTEM
  ibrav = 0, nat = 18, ntyp = 3
/
ATOMIC_SPECIES
La 138.91 La.upf
Tm 168.93 Tm.upf
Hg 200.59 Hg.upf
CELL_PARAMETERS angstrom
9.0509 0.0000 0.0000
-4.5255 7.8383 0.0000
0.0000 0.0000 6.8934
ATOMIC_POSITIONS angstrom
La 0.0000 0.0000 0.0000
La 0.0000 0.0000 3.4467
Tm -1.5103 2.6159 1.7234
Tm -3.0152 5.2224 5.1701
Tm 0.0000 5.2256 0.0000
Tm 0.0000 5.2256 3.4467
Tm 3.0206 0.0000 1.7234
Tm 1.5103 2.6159 5.1701
Tm 6.0303 0.0000 5.1701
Tm 3.0152 5.2224 1.7234
Tm 4.5255 2.6128 0.0000
Tm 4.5255 2.6128 3.4467
Hg -1.5433 2.6732 5.1701
Hg -2.9821 5.1652 1.7234
Hg 3.0867 0.0000 5.1701
Hg 1.5433 2.6732 1.7234
Hg 5.9643 0.0000 1.7234
Hg 2.9821 5.1652 5.1701
```

- Energy of formation: -0.28 eV per atom
- Calculated total energy: -3.4152 eV per atom
- Symmetry: P6_3/mcm

LaTm2Hg | GGA-PBE | relaxed Values from VASP.

The structure in Quantum ESPRESSO input format:
```
&SYSTEM
  ibrav = 0, nat = 4, ntyp = 3
/
ATOMIC_SPECIES
La 138.91 La.upf
Tm 168.93 Tm.upf
Hg 200.59 Hg.upf
CELL_PARAMETERS angstrom
1.8095 1.0447 10.5719
-1.8095 1.0447 10.5719
0.0000 -2.0895 10.5719
ATOMIC_POSITIONS angstrom
La 0.0000 0.0000 0.0000
Tm 0.0000 0.0000 7.6277
Tm 0.0000 0.0000 24.0880
Hg 0.0000 0.0000 15.8578
```

- Energy of formation: -0.17 eV per atom
- Calculated total energy: -3.7126 eV per atom
- Energy relative to the lowest polymorph listed for this composition: 53.7 meV per atom
- Symmetry: R-3m

La14TmHg | GGA-PBE | relaxed Values from VASP.

The structure in Quantum ESPRESSO input format:
```
&SYSTEM
  ibrav = 0, nat = 16, ntyp = 3
/
ATOMIC_SPECIES
La 138.91 La.upf
Tm 168.93 Tm.upf
Hg 200.59 Hg.upf
CELL_PARAMETERS angstrom
10.4263 0.0000 0.0000
0.0000 5.1628 5.1610
0.0000 -5.1628 5.1610
ATOMIC_POSITIONS angstrom
La 0.0000 0.0000 0.0000
La 0.0000 -2.6643 7.6317
La 0.0000 0.0000 5.0382
La 0.0000 2.6643 7.6317
La 2.5354 0.0000 7.6389
La 2.6706 -2.5423 5.0662
La 2.6706 2.5423 5.0662
La 2.8006 0.0000 2.5520
La 5.2131 -2.4350 7.5728
La 5.2131 2.4350 7.5728
La 7.6257 0.0000 2.5520
La 7.7557 -2.5423 5.0662
La 7.7557 2.5423 5.0662
La 7.8909 0.0000 7.6389
Tm 5.2131 0.0000 10.2024
Hg 5.2131 0.0000 5.0652
```

- Energy of formation: -0.04 eV per atom
- Calculated total energy: -4.6537 eV per atom
- Symmetry: Amm2